Entry 1:
## ZrTiTcAu (PBE-GGA)

Data for ZrTiTcAu after structural relaxation.

Cell and atoms, written as POSCAR:
```
ZrTiTcAu
1.0
-0.428 -3.683 -2.782
3.768 -2.351 -1.329
0.779 -4.259 1.657
Au Tc Zr Ti
1 1 1 1
Direct
0.250 0.250 0.250 Au
0.750 0.750 0.750 Tc
0.000 0.000 0.000 Zr
0.500 0.500 0.500 Ti
```

Output
V, Å³/atom: 17.61
Spin magnetization, μB/atom: 0.000
Space-group type: No. 216
E_form, eV per atom: -0.339


Entry 2:
## MgTaTcHg2 (PBE-GGA)

Data for MgTaTcHg2 after structural relaxation.

Cell and atoms, written as POSCAR:
```
MgTaTcHg2
1.0
-3.182 4.014 -0.400
-2.328 -2.203 -3.594
-3.179 -2.181 3.396
Tc Mg Hg Ta
1 1 2 1
Direct
0.000 0.000 0.000 Tc
0.000 0.500 0.000 Mg
0.000 0.000 0.500 Hg
0.500 0.000 0.000 Hg
0.500 0.500 0.500 Ta
```

Output
V, Å³/atom: 25.42
Spin magnetization, μB/atom: 0.392
Space-group type: No. 123
E_form, eV per atom: 1.598


Entry 3:
## LiHg2Ru (PBE-GGA)

Data for LiHg2Ru after structural relaxation.

Cell and atoms, written as POSCAR:
```
LiHg2Ru
1.0
4.164 0.000 0.000
0.000 4.164 0.000
2.082 2.082 9.313
Ru Hg Li
2 4 2
Direct
0.000 0.000 0.000 Ru
0.750 0.250 0.500 Ru
0.625 0.125 0.250 Hg
0.125 0.625 0.250 Hg
0.375 0.375 0.750 Hg
0.875 0.875 0.750 Hg
0.500 0.500 0.000 Li
0.250 0.750 0.500 Li
```

Output
V, Å³/atom: 20.18
Offset from the most stable computed form, eV/atom: 0.4710
Spin magnetization, μB/atom: 0.205
Space-group type: No. 122
E_form, eV per atom: 0.530


Entry 4:
## Be3Zn (PBE-GGA)

Data for Be3Zn after structural relaxation.

Cell and atoms, written as POSCAR:
```
Be3Zn
1.0
4.424 0.001 0.005
-1.998 3.947 0.005
-1.998 -3.251 2.239
Be Zn
3 1
Direct
0.000 0.000 0.000 Be
0.500 0.000 0.500 Be
0.500 0.500 0.000 Be
0.000 0.500 0.500 Zn
```

Output
V, Å³/atom: 9.81
Spin magnetization, μB/atom: 0.000
Space-group type: No. 166
E_form, eV per atom: 0.269


Entry 5:
## ErAlB14 (PBE-GGA)

Data for ErAlB14 after structural relaxation.

Cell and atoms, written as POSCAR:
```
ErAlB14
1.0
7.281 0.004 0.000
0.233 7.278 0.000
-2.632 -4.802 4.799
Er Al B
2 2 28
Direct
0.099 0.750 0.349 Er
0.901 0.250 0.651 Er
0.500 0.500 0.500 Al
0.500 0.000 0.000 Al
0.134 0.167 0.966 B
0.866 0.833 0.034 B
0.701 0.667 0.034 B
0.299 0.333 0.966 B
0.269 0.643 0.626 B
0.731 0.357 0.374 B
0.518 0.143 0.374 B
0.482 0.857 0.626 B
0.422 0.590 0.833 B
0.578 0.410 0.167 B
0.257 0.090 0.167 B
0.743 0.910 0.833 B
0.899 0.899 0.675 B
0.101 0.776 0.000 B
0.724 0.399 0.000 B
0.276 0.276 0.675 B
0.101 0.101 0.325 B
0.899 0.224 0.000 B
0.276 0.601 0.000 B
0.724 0.724 0.325 B
0.532 0.332 0.704 B
0.468 0.173 0.801 B
0.128 0.832 0.801 B
0.872 0.673 0.704 B
0.468 0.668 0.296 B
0.532 0.827 0.199 B
0.872 0.168 0.199 B
0.128 0.327 0.296 B
```

Output
V, Å³/atom: 7.95
Spin magnetization, μB/atom: 0.000
Space-group type: No. 74
E_form, eV per atom: -0.164


Entry 6:
## NbTl2V (PBE-GGA)

Data for NbTl2V after structural relaxation.

Cell and atoms, written as POSCAR:
```
NbTl2V
1.0
-3.910 -5.782 3.146
0.525 -3.922 -6.555
0.827 -6.054 -0.783
Tl Nb V
4 2 2
Direct
0.612 0.125 0.250 Tl
0.138 0.625 0.250 Tl
0.375 0.388 0.750 Tl
0.875 0.862 0.750 Tl
0.000 0.000 0.000 Nb
0.750 0.250 0.500 Nb
0.500 0.500 0.000 V
0.250 0.750 0.500 V
```

Output
V, Å³/atom: 21.54
Offset from the most stable computed form, eV/atom: 0.2265
Spin magnetization, μB/atom: 0.251
Space-group type: No. 122
E_form, eV per atom: 0.841


Entry 7:
## InCo2Ni (PBE-GGA)

Data for InCo2Ni after structural relaxation.

Cell and atoms, written as POSCAR:
```
InCo2Ni
1.0
4.601 0.010 0.044
3.718 2.711 0.044
0.974 0.318 4.319
Co In Ni
2 1 1
Direct
0.990 0.990 0.035 Co
0.510 0.510 0.465 Co
0.750 0.750 0.750 In
0.250 0.250 0.250 Ni
```

Output
V, Å³/atom: 13.39
Spin magnetization, μB/atom: 0.799
Space-group type: No. 12
E_form, eV per atom: 0.182